HoSi3Pt6: relaxed, PBE.

```
20
Lattice="4.0818 0.0000 0.0000 0.0000 8.4442 -1.1808 0.0000 0.8366 9.7098" Properties=species:S:1:pos:R:3 pbc="T T T"
Pt 1.0204 7.4149 4.9666
Pt 1.0204 1.8013 9.1782
Pt 1.0204 2.5918 1.8148
Pt 3.0613 4.2510 5.1163
Pt 1.0204 3.2539 6.8065
Pt 1.0204 5.6906 8.3360
Pt 3.0613 6.6889 6.7142
Pt 3.0613 7.4795 -0.6492
Pt 1.0204 5.0298 3.4126
Pt 3.0613 3.5902 0.1930
Pt 3.0613 1.8659 3.5623
Pt 3.0613 6.0269 1.7225
Si 3.0613 6.5030 4.0817
Si 1.0204 2.7778 4.4473
Si 3.0613 4.3260 7.5503
Si 1.0204 7.9936 7.4292
Si 3.0613 1.2872 1.0998
Si 1.0204 4.9548 0.9787
Ho 3.0613 1.1152 6.5462
Ho 1.0204 8.1656 1.9828
```

Summary:
calculated volume = 339 Å³/cell
crystal system = monoclinic
N(E_F) = 7.69 states/eV per cell
E = -6.54 eV per atom



SmHo2Si2Pt7: relaxed, PBE.

```
12
Lattice="-1.5584 -3.6172 0.9543 1.9908 -1.7193 -3.0829 10.8008 -4.4055 7.4242" Properties=species:S:1:pos:R:3 pbc="T T T"
Pt 10.0314 -4.8736 4.5176
Pt 6.4354 -5.9084 2.8800
Pt 8.2588 -5.8214 6.5339
Pt 2.9744 -3.9206 -1.2383
Pt 1.2018 -4.8684 0.7780
Pt 0.2162 -2.6682 -1.0643
Pt 4.7978 -3.8336 2.4156
Ho 6.9823 -3.4638 4.5099
Ho 4.2509 -6.2781 0.7857
Si 2.9843 -3.2872 1.0782
Si 8.2489 -6.4548 4.2174
Sm 0.0000 0.0000 0.0000
```

Summary:
calculated volume = 224 Å³/cell
crystal system = monoclinic
N(E_F) = 4.88 states/eV per cell
E = -6.67 eV per atom



SmHoSiPt: relaxed, PBE.

```
4
Lattice="-1.0280 -2.6768 2.8409 3.7539 0.4359 1.7691 -1.4126 5.3644 1.6758" Properties=species:S:1:pos:R:3 pbc="T T T"
Ho -0.0338 1.7984 4.5497
Pt -1.6244 3.3945 2.6105
Sm -0.5521 1.1538 0.8873
Si 1.0830 -0.5355 2.7549
```

Summary:
calculated volume = 91 Å³/cell
crystal system = orthorhombic
N(E_F) = 3.20 states/eV per cell
E = -6.20 eV per atom